# SmHoSc2Bi4, relaxed, DFT GGA-PBE
data_SmHoSc2Bi4
_chemical_formula_sum 'Sm1 Ho1 Sc2 Bi4'
_space_group_name_H-M_alt 'P 1'
_space_group_IT_number 1
_cell_length_a 4.394
_cell_length_b 7.609
_cell_length_c 7.597
_cell_angle_alpha 109.50
_cell_angle_beta 90.00
_cell_angle_gamma 90.00
loop_
_space_group_symop_operation_xyz
'x,y,z'
loop_
_atom_site_label
_atom_site_type_symbol
_atom_site_fract_x
_atom_site_fract_y
_atom_site_fract_z
_atom_site_occupancy
Bi1 Bi 0.000 0.752 0.266 1
Bi2 Bi 0.500 0.741 0.732 1
Bi3 Bi 0.000 0.248 0.734 1
Bi4 Bi 0.500 0.259 0.268 1
Sm1 Sm 0.000 0.000 0.000 1
Sc1 Sc 0.000 0.500 0.500 1
Sc2 Sc 0.500 0.000 0.500 1
Ho1 Ho 0.500 0.500 0.000 1
# formation energy	-6.10	eV/f.u.
# crystal system	monoclinic
# symmetry	P2/m, No. 10
# DFT total energy	-5.4483	eV/atom